(1)
This record from Alexandria via LeMat-Bulk describes HfSnMo2As at its PBEsol-relaxed geometry. The functional is SCAN.

As for the energy: -35.854 eV per atom. The density of states at the Fermi level comes out at 4.6 states/eV/f.u. The calculated volume is 117.6 Å³/cell.

The space group is P4/mmm (No. 123) and the conventional cell measures 4.9041, 4.9041 and 4.8901 Å, with angles of 90.00, 90.00 and 90.00 degrees. Symmetry generates all atoms from Hf at (0.0000, 0.0000, 0.0000), Sn at (0.5000, 0.5000, 0.5000), Mo at (0.0000, 0.5000, 0.5000) and As at (0.5000, 0.5000, 0.0000).

=====

(2)
This record from Alexandria via LeMat-Bulk describes GePS3 at its PBEsol-relaxed geometry. The functional is SCAN.

As for the raw formation energy: 211 kJ/mol of formula units. As for the energy: -11.238 eV per atom. The density of states at the Fermi level comes out at 2.6 states/eV/f.u. The calculated volume is 90.1 Å³/cell.

The space group is Pm-3m (No. 221) and the conventional cell measures 4.4829, 4.4829 and 4.4829 Å, with angles of 90.00, 90.00 and 90.00 degrees. Symmetry generates all atoms from Ge at (0.0000, 0.0000, 0.0000), P at (0.5000, 0.5000, 0.5000) and S at (0.0000, 0.5000, 0.5000).

=====

(3)
This record from Alexandria via LeMat-Bulk describes CdRu2Se at its PBEsol-relaxed geometry. The functional is SCAN.

As for the raw formation energy: 81 kJ/mol of formula units. As for the energy: -29.828 eV per atom. The density of states at the Fermi level comes out at 3.2 states/eV/f.u. The calculated volume is 65.8 Å³/cell.

The space group is P4mm (No. 99) and the conventional cell measures 2.8870, 2.8870 and 7.8951 Å, with angles of 90.00, 90.00 and 90.00 degrees. Symmetry generates all atoms from Cd at (0.0000, 0.0000, 0.0000), Ru at (0.0000, 0.0000, 0.4572), Ru at (0.5000, 0.5000, 0.2457) and Se at (0.5000, 0.5000, 0.6570).

=====

(4)
This record from Alexandria via LeMat-Bulk describes As2WBr at its PBEsol-relaxed geometry. The functional is SCAN.

As for the raw formation energy: 132 kJ/mol of formula units. As for the energy: -32.040 eV per atom. The density of states at the Fermi level comes out at 2.2 states/eV/f.u. The calculated volume is 173.5 Å³/cell.

The space group is Imm2 (No. 44) and the conventional cell measures 3.1424, 4.1010 and 13.4608 Å, with angles of 90.00, 90.00 and 90.00 degrees. Symmetry generates all atoms from As at (0.0000, 0.0000, 0.0000), As at (0.0000, 0.5000, 0.1138), W at (0.0000, 0.0000, 0.4530) and Br at (0.0000, 0.5000, 0.7994).